12
Lattice="5.801 -2.658 0.000 5.801 2.658 0.000 -0.525 0.000 5.477" Properties=species:S:1:pos:R:3 comment="LiMnF4 (PBE with a Hubbard U, relaxed)" space_group=C2/c e_tot_ev_per_cell=-65.431 pbc="T T T"
Li 5.407 2.516 4.107
Li 5.670 -2.516 1.369
Mn 2.901 1.329 0.000
Mn 2.638 -1.329 2.738
F 4.186 1.922 5.452
F 3.243 0.371 1.576
F 6.628 1.922 2.763
F 2.981 -0.371 4.314
F 8.096 0.371 1.163
F 4.449 -1.922 2.713
F 7.834 -0.371 3.901
F 6.891 -1.922 0.025



28
Lattice="5.810 0.000 0.000 0.000 5.810 0.000 0.000 0.000 10.803" Properties=species:S:1:pos:R:3 comment="LiMnF5 (PBE with a Hubbard U, relaxed)" space_group=P4_1 relative_energy_ev_per_fu=0.48 pbc="T T T"
Li 0.712 1.462 0.000
Li 1.462 5.098 8.102
Li 4.348 0.712 2.701
Li 5.098 4.348 5.402
Mn 1.219 2.425 3.166
Mn 2.425 4.591 0.465
Mn 3.385 1.219 5.866
Mn 4.591 3.385 8.567
F 0.091 2.286 1.730
F 0.256 1.027 3.782
F 0.267 3.852 3.797
F 1.027 5.554 1.081
F 1.345 3.328 10.579
F 1.958 0.267 6.497
F 2.073 2.399 4.911
F 2.286 5.719 9.832
F 2.399 3.737 2.210
F 2.483 1.345 2.477
F 3.328 4.465 7.879
F 3.411 2.073 7.611
F 3.524 0.091 4.431
F 3.737 3.411 10.312
F 3.852 5.543 1.096
F 4.465 2.483 5.178
F 4.783 0.256 6.483
F 5.543 1.958 9.198
F 5.554 4.783 9.183
F 5.719 3.524 7.132



28
Lattice="4.973 0.000 0.000 0.000 6.468 0.000 0.000 0.000 11.263" Properties=species:S:1:pos:R:3 comment="LiMnF5 (PBE with a Hubbard U, relaxed)" space_group=P2_12_12_1 relative_energy_ev_per_fu=0.03 pbc="T T T"
Li 0.438 0.573 2.297
Li 2.049 5.895 7.929
Li 2.924 2.661 8.967
Li 4.536 3.808 3.335
Mn 0.812 2.547 6.545
Mn 1.674 3.921 0.913
Mn 3.299 0.687 4.718
Mn 4.161 5.781 10.350
F 0.063 4.231 11.093
F 0.196 3.576 5.195
F 0.637 6.007 9.331
F 0.846 2.530 1.705
F 0.887 4.982 2.190
F 1.599 1.486 7.821
F 1.641 3.939 7.337
F 1.850 0.461 3.699
F 2.291 2.892 10.827
F 2.424 2.237 5.462
F 2.549 5.472 0.170
F 2.682 6.126 6.069
F 3.124 3.695 1.933
F 3.332 0.705 9.559
F 3.374 4.720 9.074
F 4.086 1.748 3.442
F 4.127 5.764 3.927
F 4.336 2.773 7.564
F 4.777 0.342 0.437
F 4.910 0.997 5.802



24
Lattice="4.608 0.000 0.000 0.000 11.497 0.000 0.000 0.000 5.361" Properties=species:S:1:pos:R:3 comment="LiMnF4 (PBE with a Hubbard U, relaxed)" space_group=Pbcn e_tot_ev_per_cell=-130.278 pbc="T T T"
Li 0.000 1.964 1.340
Li 0.000 9.533 4.021
Li 2.304 3.785 4.021
Li 2.304 7.712 1.340
Mn 0.000 4.909 1.340
Mn 0.000 6.588 4.021
Mn 2.304 0.840 4.021
Mn 2.304 10.657 1.340
F 1.025 3.584 0.543
F 1.025 7.913 3.224
F 1.073 5.202 3.222
F 1.073 6.295 0.542
F 1.231 0.547 0.542
F 1.231 10.950 3.222
F 1.279 2.164 3.224
F 1.279 9.332 0.543
F 3.329 2.164 4.818
F 3.329 9.332 2.138
F 3.377 0.547 2.139
F 3.377 10.950 4.820
F 3.535 5.202 4.820
F 3.535 6.295 2.139
F 3.583 3.584 2.138
F 3.583 7.913 4.818